The following is a DFT calculation (PBE) of Rb2Pa2Cl2O5 after structural relaxation.

Lattice parameters (Å, degrees): 4.3332 4.3332 13.5872 99.18 99.18 90.00
With the nearest neighbours (Å) after each atom.
Sites, in units of the cell vectors:
O 0.0899 0.5899 0.1798  2 Pa 2.18
Pa 0.0798 0.0798 0.1595  5 O 2.11-2.18
Rb 0.6751 0.6751 0.3502  4 Cl 3.09, 4 O 3.13
Pa 0.9202 0.9202 0.8405  5 O 2.11-2.18
O 0.4101 0.9101 0.8202  2 Pa 2.18
Rb 0.3249 0.3249 0.6498  4 Cl 3.09, 4 O 3.13
Cl 0.8084 0.8084 0.6169  1 Pa 2.96, 4 Rb 3.09
O 0.0000 0.0000 0.0000  2 Pa 2.11
Cl 0.1916 0.1916 0.3831  1 Pa 2.96, 4 Rb 3.09
O 0.5899 0.0899 0.1798  2 Pa 2.18
O 0.9101 0.4101 0.8202  2 Pa 2.18

Results
Its density of states at the Fermi level is 0.00 states/eV per cell. The calculation puts the uncorrected formation energy at -3083 kJ/mol of formula units. The space group is I4/mmm (139). The calculated total energy comes out at -7.396 eV per atom.

=====

The following is a DFT calculation (PBE) of Rb3Pa2Cl2O5 after structural relaxation.

Lattice parameters (Å, degrees): 4.4448 4.4448 13.6205 99.39 99.39 90.00
With the nearest neighbours (Å) after each atom.
Sites, in units of the cell vectors:
O 0.9132 0.4132 0.8263  2 Pa 2.23
O 0.5000 0.5000 0.0000  2 Pa 2.19
Cl 0.6936 0.6936 0.3872  1 Pa 2.94, 4 Rb 3.18
Pa 0.4173 0.4173 0.8347  5 O 2.19-2.23
Rb 0.1747 0.1747 0.3495  5 Cl 3.18-3.49, 4 O 3.22
O 0.4132 0.9132 0.8263  2 Pa 2.23
O 0.0868 0.5868 0.1737  2 Pa 2.23
Cl 0.3064 0.3064 0.6128  1 Pa 2.94, 4 Rb 3.18
O 0.5868 0.0868 0.1737  2 Pa 2.23
Pa 0.5827 0.5827 0.1653  5 O 2.19-2.23
Rb 0.8253 0.8253 0.6505  5 Cl 3.18-3.49, 4 O 3.22
Rb 0.0000 0.0000 0.0000  12 O 3.14-3.20

Results
Its density of states at the Fermi level is 6.65 states/eV per cell. The calculation puts the uncorrected formation energy at -3151 kJ/mol of formula units. The space group is I4/mmm (139). The calculated total energy comes out at -6.920 eV per atom.